The following is a PBE-GGA calculation of a relaxed structure of Pr2Nd3YCoTe2, from OQMD via LeMat-Bulk.

POSCAR file:
```
Pr2Nd3YCoTe2
1.0
3.9906 0.0000 0.0000
0.0000 7.4691 4.3413
0.0000 -7.4691 4.3413
Pr Nd Y Co Te
2 3 1 1 2
Direct
0.0000 0.1178 0.8822
0.0000 0.8822 0.1178
0.5000 0.1140 0.5254
0.5000 0.5254 0.1140
0.5000 0.7065 0.7065
0.0000 0.3540 0.3540
0.5000 0.1269 0.1269
0.0000 0.4485 0.7767
0.0000 0.7767 0.4485
```

Calculated values
Total energy in eV per atom: -5.534
Space-group type: Amm2 (38)
Crystal system: orthorhombic

The following is a PBE-GGA calculation of a relaxed structure of LiNbPO, from OQMD via LeMat-Bulk.

POSCAR file:
```
LiNbPO
1.0
3.4394 0.0000 0.0000
0.0000 3.4394 0.0000
0.0000 0.0000 8.4771
Li Nb P O
2 2 2 2
Direct
0.2500 0.7500 0.0000
0.7500 0.2500 0.0000
0.2500 0.2500 0.3453
0.7500 0.7500 0.6547
0.2500 0.2500 0.7937
0.7500 0.7500 0.2063
0.2500 0.7500 0.5000
0.7500 0.2500 0.5000
```

Calculated values
Energy relative to the lowest polymorph listed for this composition in meV/atom: 201
Total energy in eV per atom: -6.760
Space-group type: P4/nmm (129)
Crystal system: tetragonal

The following is a PBE-GGA calculation of a relaxed structure of Li4SiAg2Sb, from OQMD via LeMat-Bulk.

POSCAR file:
```
Li4SiAg2Sb
1.0
4.4500 0.0000 0.0000
0.0000 4.4500 0.0000
0.0000 0.0000 6.4392
Li Si Ag Sb
4 1 2 1
Direct
0.0000 0.0000 0.0000
0.0000 0.5000 0.2300
0.5000 0.0000 0.7700
0.5000 0.5000 0.5000
0.5000 0.5000 0.0000
0.0000 0.5000 0.7808
0.5000 0.0000 0.2192
0.0000 0.0000 0.5000
```

Calculated values
Total energy in eV per atom: -3.214
Space-group type: P-4m2 (115)
Crystal system: tetragonal